The following is a PBEsol calculation of a relaxed Li3Ni2P3O12 crystal, from the Alexandria database.

The value obtained for the total magnetization is 3.99 μB per cell. As for the formation energy (no corrections): -37.5 eV per formula unit. As for the space-group type: C2/c.

The structure in CIF format:
```
data_Li3Ni2P3O12
_symmetry_space_group_name_H-M 'P 1'
_symmetry_Int_Tables_number 1
_cell_length_a 8.3258
_cell_length_b 8.3258
_cell_length_c 6.0829
_cell_angle_alpha 105.23
_cell_angle_beta 105.23
_cell_angle_gamma 95.71
loop_
_symmetry_equiv_pos_as_xyz
'x,y,z'
loop_
_atom_site_label
_atom_site_fract_x
_atom_site_fract_y
_atom_site_fract_z
Li1 0.0000 0.0000 0.0000
Li2 0.0000 0.0000 0.5000
Li3 0.2111 0.7889 0.7500
Li4 0.4690 0.5310 0.7500
Li5 0.5310 0.4690 0.2500
Li6 0.7889 0.2111 0.2500
Ni1 0.1241 0.4491 0.8708
Ni2 0.4491 0.1241 0.3708
Ni3 0.5509 0.8759 0.6292
Ni4 0.8759 0.5509 0.1292
P1 0.1642 0.3627 0.3665
P2 0.2139 0.7861 0.2500
P3 0.3627 0.1642 0.8665
P4 0.6373 0.8358 0.1335
P5 0.7861 0.2139 0.7500
P6 0.8358 0.6373 0.6335
O1 0.0302 0.7605 0.2659
O2 0.0430 0.1989 0.2993
O3 0.1012 0.4564 0.1717
O4 0.1637 0.4950 0.6014
O5 0.1989 0.0430 0.7993
O6 0.2395 0.9698 0.2341
O7 0.2420 0.6734 0.0194
O8 0.3266 0.7580 0.4806
O9 0.3477 0.3530 0.8957
O10 0.3530 0.3477 0.3957
O11 0.4564 0.1012 0.6717
O12 0.4950 0.1637 0.1014
O13 0.5050 0.8363 0.8986
O14 0.5436 0.8988 0.3283
O15 0.6470 0.6523 0.6043
O16 0.6523 0.6470 0.1043
O17 0.6734 0.2420 0.5194
O18 0.7580 0.3266 0.9806
O19 0.7605 0.0302 0.7659
O20 0.8011 0.9570 0.2007
O21 0.8363 0.5050 0.3986
O22 0.8988 0.5436 0.8283
O23 0.9570 0.8011 0.7007
O24 0.9698 0.2395 0.7341
```



The following is a PBEsol calculation of a relaxed LiNiPO4 crystal, from the Alexandria database.

The value obtained for the total magnetization is 4.00 μB per cell. As for the formation energy (no corrections): -12.6 eV per formula unit. As for the space-group type: R-3.

The structure in CIF format:
```
data_LiNiPO4
_symmetry_space_group_name_H-M 'P 1'
_symmetry_Int_Tables_number 1
_cell_length_a 8.2240
_cell_length_b 8.2240
_cell_length_c 8.2240
_cell_angle_alpha 33.65
_cell_angle_beta 33.65
_cell_angle_gamma 33.65
loop_
_symmetry_equiv_pos_as_xyz
'x,y,z'
loop_
_atom_site_label
_atom_site_fract_x
_atom_site_fract_y
_atom_site_fract_z
Li1 0.2177 0.2177 0.2177
Li2 0.7823 0.7823 0.7823
Ni1 0.3377 0.3377 0.3377
Ni2 0.6623 0.6623 0.6623
P1 0.0750 0.0750 0.0750
P2 0.9250 0.9250 0.9250
O1 0.0354 0.3726 0.7491
O2 0.1392 0.1392 0.1392
O3 0.2509 0.9646 0.6274
O4 0.3726 0.7491 0.0354
O5 0.6274 0.2509 0.9646
O6 0.7491 0.0354 0.3726
O7 0.8608 0.8608 0.8608
O8 0.9646 0.6274 0.2509
```



The following is a PBEsol calculation of a relaxed Li4NiSn3P4O16 crystal, from the Alexandria database.

The value obtained for the total magnetization is 1.89 μB per cell. As for the formation energy (no corrections): -54.5 eV per formula unit. As for the space-group type: Pm.

The structure in CIF format:
```
data_Li4NiSn3P4O16
_symmetry_space_group_name_H-M 'P 1'
_symmetry_Int_Tables_number 1
_cell_length_a 4.7413
_cell_length_b 6.7596
_cell_length_c 10.6497
_cell_angle_alpha 90.00
_cell_angle_beta 91.12
_cell_angle_gamma 90.00
loop_
_symmetry_equiv_pos_as_xyz
'x,y,z'
loop_
_atom_site_label
_atom_site_fract_x
_atom_site_fract_y
_atom_site_fract_z
Li1 0.0000 0.2256 0.0000
Li2 0.0000 0.7744 0.0000
Li3 0.4401 0.2644 0.4774
Li4 0.4401 0.7356 0.4774
Ni1 0.9123 0.5000 0.2651
Sn1 0.0245 0.0000 0.7002
Sn2 0.4033 0.0000 0.2112
Sn3 0.4881 0.5000 0.7731
P1 0.0221 0.5000 0.5527
P2 0.3323 0.5000 0.1007
P3 0.5857 0.0000 0.9208
P4 0.8451 0.0000 0.4119
O1 0.1499 0.5000 0.4192
O2 0.1526 0.3192 0.6253
O3 0.1526 0.6808 0.6253
O4 0.1681 0.0000 0.4232
O5 0.1836 0.3206 0.1650
O6 0.1836 0.6794 0.1650
O7 0.2312 0.5000 0.9603
O8 0.2671 0.0000 0.9419
O9 0.6529 0.5000 0.1154
O10 0.6931 0.1841 0.8466
O11 0.6931 0.8159 0.8466
O12 0.6994 0.5000 0.5500
O13 0.7095 0.0000 0.5457
O14 0.7223 0.1855 0.3412
O15 0.7223 0.8145 0.3412
O16 0.7457 0.0000 0.0503
```



The following is a PBEsol calculation of a relaxed Li4Ni3SnP4O16 crystal, from the Alexandria database.

The value obtained for the total magnetization is 5.99 μB per cell. As for the formation energy (no corrections): -52.1 eV per formula unit. As for the space-group type: Pm.

The structure in CIF format:
```
data_Li4Ni3SnP4O16
_symmetry_space_group_name_H-M 'P 1'
_symmetry_Int_Tables_number 1
_cell_length_a 4.7215
_cell_length_b 5.8199
_cell_length_c 10.7617
_cell_angle_alpha 90.00
_cell_angle_beta 94.44
_cell_angle_gamma 90.00
loop_
_symmetry_equiv_pos_as_xyz
'x,y,z'
loop_
_atom_site_label
_atom_site_fract_x
_atom_site_fract_y
_atom_site_fract_z
Li1 0.0000 0.2384 0.0000
Li2 0.0000 0.7616 0.0000
Li3 0.5805 0.2515 0.4595
Li4 0.5805 0.7485 0.4595
Ni1 0.0598 0.5000 0.2526
Ni2 0.1074 0.0000 0.6713
Ni3 0.5445 0.0000 0.2074
Sn1 0.5825 0.5000 0.7562
P1 0.0136 0.5000 0.5427
P2 0.1407 0.0000 0.3747
P3 0.4268 0.0000 0.8955
P4 0.5992 0.5000 0.0927
O1 0.2716 0.2091 0.3061
O2 0.2716 0.7909 0.3061
O3 0.2743 0.5000 0.0892
O4 0.2880 0.2064 0.8163
O5 0.2880 0.7936 0.8163
O6 0.2909 0.0000 0.5088
O7 0.3076 0.0000 0.0263
O8 0.3381 0.5000 0.5443
O9 0.7166 0.5000 0.9628
O10 0.7457 0.2866 0.1595
O11 0.7457 0.7134 0.1595
O12 0.7490 0.0000 0.9029
O13 0.8160 0.0000 0.3714
O14 0.8593 0.5000 0.4098
O15 0.8980 0.2825 0.6083
O16 0.8980 0.7175 0.6083
```



The following is a PBEsol calculation of a relaxed LiTi2NiP2O10 crystal, from the Alexandria database.

The value obtained for the total magnetization is 1.87 μB per cell. As for the formation energy (no corrections): -38.0 eV per formula unit. As for the space-group type: P2_1/c.

The structure in CIF format:
```
data_LiTi2NiP2O10
_symmetry_space_group_name_H-M 'P 1'
_symmetry_Int_Tables_number 1
_cell_length_a 6.4223
_cell_length_b 7.1932
_cell_length_c 7.4436
_cell_angle_alpha 90.00
_cell_angle_beta 93.13
_cell_angle_gamma 90.00
loop_
_symmetry_equiv_pos_as_xyz
'x,y,z'
loop_
_atom_site_label
_atom_site_fract_x
_atom_site_fract_y
_atom_site_fract_z
Li1 0.0000 0.0000 0.0000
Li2 0.0000 0.5000 0.5000
Ti1 0.2658 0.2246 0.6670
Ti2 0.2658 0.2754 0.1670
Ti3 0.7342 0.7246 0.8330
Ti4 0.7342 0.7754 0.3330
Ni1 0.5000 0.0000 0.0000
Ni2 0.5000 0.5000 0.5000
P1 0.2388 0.6285 0.8841
P2 0.2388 0.8715 0.3841
P3 0.7612 0.1285 0.6159
P4 0.7612 0.3715 0.1159
O1 0.0425 0.7490 0.8883
O2 0.0425 0.7510 0.3883
O3 0.2254 0.0010 0.2194
O4 0.2254 0.4990 0.7194
O5 0.2678 0.5163 0.0592
O6 0.2678 0.9837 0.5592
O7 0.2716 0.1520 0.8958
O8 0.2716 0.3480 0.3958
O9 0.4287 0.7392 0.3677
O10 0.4287 0.7608 0.8677
O11 0.5713 0.2392 0.1323
O12 0.5713 0.2608 0.6323
O13 0.7284 0.6520 0.6042
O14 0.7284 0.8480 0.1042
O15 0.7322 0.0163 0.4408
O16 0.7322 0.4837 0.9408
O17 0.7746 0.5010 0.2806
O18 0.7746 0.9990 0.7806
O19 0.9575 0.2490 0.6117
O20 0.9575 0.2510 0.1117
```